Density functional theory data (PBE) for crystalline Cr3H12Rh5 at its relaxed geometry.

Values from the calculation:
E_tot = -5.24 eV/atom
total moment = 0.595 μB/atom

Cell lengths 9.335, 9.335, 9.335 Å; angles 109.47, 109.47, 109.47 degrees
Each line ends with the local moment (μB).
Fractional positions:
Cr  0.750  0.375  0.125  3.28
Cr  0.875  0.750  0.125  3.28
Cr  0.375  0.750  0.625  3.28
Cr  0.250  0.125  0.375  3.28
Cr  0.875  0.125  0.250  3.28
Cr  0.375  0.625  0.250  3.28
Cr  0.625  0.375  0.750  3.28
Cr  0.125  0.875  0.750  3.28
Cr  0.750  0.875  0.625  3.28
Cr  0.625  0.250  0.375  3.28
Cr  0.125  0.250  0.875  3.28
Cr  0.250  0.625  0.875  3.28
Rh  0.125  0.375  0.250  0.35
Rh  0.000  0.500  0.000  0.33
Rh  0.000  0.000  0.000  0.33
Rh  0.375  0.250  0.125  0.35
Rh  0.500  0.000  0.500  0.33
Rh  0.500  0.500  0.000  0.33
Rh  0.125  0.750  0.375  0.35
Rh  0.750  0.125  0.875  0.35
Rh  0.750  0.625  0.375  0.35
Rh  0.375  0.125  0.750  0.35
Rh  0.625  0.875  0.250  0.35
Rh  0.500  0.500  0.500  0.33
Rh  0.500  0.000  0.000  0.33
Rh  0.000  0.000  0.500  0.33
Rh  0.250  0.375  0.625  0.35
Rh  0.250  0.875  0.125  0.35
Rh  0.000  0.500  0.500  0.33
Rh  0.875  0.250  0.625  0.35
Rh  0.625  0.750  0.875  0.35
Rh  0.875  0.625  0.750  0.35
H  0.718  0.132  0.050  -0.02
H  0.332  0.550  0.417  -0.02
H  0.950  0.368  0.282  -0.02
H  0.550  0.218  0.132  -0.02
H  0.586  0.718  0.668  -0.02
H  0.950  0.583  0.168  -0.02
H  0.332  0.782  0.414  -0.02
H  0.083  0.914  0.132  -0.02
H  0.583  0.950  0.668  -0.02
H  0.718  0.586  0.168  -0.02
H  0.782  0.450  0.368  -0.02
H  0.832  0.917  0.050  -0.02
H  0.132  0.718  0.550  -0.02
H  0.368  0.417  0.086  -0.02
H  0.086  0.917  0.368  -0.02
H  0.414  0.132  0.583  -0.02
H  0.086  0.168  0.218  -0.02
H  0.450  0.668  0.083  -0.02
H  0.832  0.914  0.282  -0.02
H  0.132  0.414  0.083  -0.02
H  0.368  0.950  0.782  -0.02
H  0.583  0.632  0.414  -0.02
H  0.917  0.832  0.550  -0.02
H  0.782  0.332  0.914  -0.02
H  0.417  0.368  0.586  -0.02
H  0.083  0.168  0.450  -0.02
H  0.218  0.668  0.086  -0.02
H  0.168  0.086  0.718  -0.02
H  0.632  0.050  0.218  -0.02
H  0.868  0.586  0.917  -0.02
H  0.550  0.332  0.917  -0.02
H  0.586  0.868  0.417  -0.02
H  0.914  0.832  0.782  -0.02
H  0.914  0.083  0.632  -0.02
H  0.868  0.282  0.450  -0.02
H  0.168  0.083  0.950  -0.02
H  0.632  0.583  0.914  -0.02
H  0.417  0.050  0.332  -0.02
H  0.282  0.414  0.832  -0.02
H  0.218  0.550  0.632  -0.02
H  0.917  0.086  0.868  -0.02
H  0.668  0.218  0.586  -0.02
H  0.450  0.782  0.868  -0.02
H  0.050  0.417  0.832  -0.02
H  0.414  0.282  0.332  -0.02
H  0.050  0.632  0.718  -0.02
H  0.668  0.450  0.583  -0.02
H  0.282  0.868  0.950  -0.02